Material: Mg2TlSb
Method: DFT, GGA-PBE
State: optimized geometry

Cell lengths 5.5103, 5.5103, 5.5103 Å; angles 128.15, 128.15, 76.38 degrees
With the nearest neighbours (Å) after each atom.
Sites, in units of the cell vectors:
Mg 0.0000 0.0000 0.0000  4 Sb 3.24, 4 Tl 3.24, 4 Mg 3.41
Mg 0.5000 0.5000 0.0000  4 Tl 3.24, 4 Sb 3.24, 4 Mg 3.41
Sb 0.2500 0.7500 0.5000  8 Mg 3.24, 4 Tl 3.41
Tl 0.7500 0.2500 0.5000  8 Mg 3.24, 4 Sb 3.41

Output
For the density of states at the Fermi level, the calculation gives 0.488 states/eV/atom. The value obtained for the total magnetization is 0.00 μB/f.u. Its raw formation energy is -109 meV per atom. Its total energy is -2.529 eV/atom.